[1]
DFT (PBE) results for crystalline Ac2NbSb at its relaxed geometry.

electronic total energy = -5.63 eV/atom
raw formation energy = -0.025 eV/atom
energy above the lowest structure with this stoichiometry = 0 meV per atom
space group = No. 123

Cell lengths 5.3293, 5.3293, 4.4027 Å; angles 90.00, 90.00, 90.00 degrees
Element x y z (fractional)
Ac (0.0000, 0.5000, 0.0000)
Ac (0.5000, 0.0000, 0.0000)
Nb (0.0000, 0.0000, 0.5000)
Sb (0.5000, 0.5000, 0.5000)

[2]
DFT (PBE) results for crystalline Ac2NbSb at its relaxed geometry.

electronic total energy = -5.01 eV/atom
raw formation energy = 0.592 eV/atom
energy above the lowest structure with this stoichiometry = 616 meV per atom
space group = No. 166

Cell lengths 12.1839, 12.1839, 12.1839 Å; angles 16.49, 16.49, 16.49 degrees
Element x y z (fractional)
Ac (0.0866, 0.0866, 0.0866)
Ac (0.9134, 0.9134, 0.9134)
Nb (0.0000, 0.0000, 0.0000)
Sb (0.5000, 0.5000, 0.5000)

[3]
DFT (PBE) results for crystalline Ac2ScNb at its relaxed geometry.

electronic total energy = -5.34 eV/atom
space group = No. 166

Cell lengths 12.0730, 12.0730, 12.0730 Å; angles 16.61, 16.61, 16.61 degrees
Element x y z (fractional)
Ac (0.0849, 0.0849, 0.0849)
Ac (0.9151, 0.9151, 0.9151)
Sc (0.5000, 0.5000, 0.5000)
Nb (0.0000, 0.0000, 0.0000)

Number 1: N(E_F) 0.87 states/eV per atom. Number 2: N(E_F) 1.04 states/eV per atom. Number 3: N(E_F) 1.49 states/eV per atom.